# 1
# Ca3CdIr, optimized geometry, DFT GGA-PBE
# Formation energy from the elements (meV/atom): -321
# SG: Fmmm (69)
data_Ca3CdIr
_chemical_formula_sum 'Ca6 Cd2 Ir2'
_symmetry_space_group_name_H-M 'P 1'
_symmetry_Int_Tables_number 1
_symmetry_space_group_name_Hall 'P 1'
_cell_length_a 9.714
_cell_length_b 8.958
_cell_length_c 5.964
_cell_angle_alpha 78.42
_cell_angle_beta 64.60
_cell_angle_gamma 36.97
loop_
_atom_site_label
_atom_site_fract_x
_atom_site_fract_y
_atom_site_fract_z
Ca1 0.197 0.579 0.421
Ca2 0.202 0.202 0.798
Ca3 0.421 0.803 0.197
Ca4 0.579 0.197 0.803
Ca5 0.798 0.798 0.202
Ca6 0.803 0.421 0.579
Cd1 0.211 0.789 0.789
Cd2 0.789 0.211 0.211
Ir1 0.250 0.250 0.250
Ir2 0.750 0.750 0.750

***

# 2
# CaCdIr2, optimized geometry, DFT GGA-PBE
# Formation energy from the elements (meV/atom): 125
# SG: Pmmm (47)
data_CaCdIr2
_chemical_formula_sum 'Ca1 Cd1 Ir2'
_symmetry_space_group_name_H-M 'P 1'
_symmetry_Int_Tables_number 1
_symmetry_space_group_name_Hall 'P 1'
_cell_length_a 3.103
_cell_length_b 4.651
_cell_length_c 4.966
_cell_angle_alpha 90.00
_cell_angle_beta 90.00
_cell_angle_gamma 90.00
loop_
_atom_site_label
_atom_site_fract_x
_atom_site_fract_y
_atom_site_fract_z
Ca1 0.000 0.000 0.000
Cd1 0.500 0.000 0.500
Ir1 0.000 0.500 0.500
Ir2 0.500 0.500 0.000

***

# 3
# CaCdIr, optimized geometry, DFT GGA-PBE
# Formation energy from the elements (meV/atom): -249
# SG: C2/m (12)
data_CaCdIr
_chemical_formula_sum 'Ca2 Cd2 Ir2'
_symmetry_space_group_name_H-M 'P 1'
_symmetry_Int_Tables_number 1
_symmetry_space_group_name_Hall 'P 1'
_cell_length_a 6.460
_cell_length_b 6.460
_cell_length_c 5.483
_cell_angle_alpha 101.41
_cell_angle_beta 101.41
_cell_angle_gamma 40.63
loop_
_atom_site_label
_atom_site_fract_x
_atom_site_fract_y
_atom_site_fract_z
Ca1 0.126 0.126 0.326
Ca2 0.874 0.874 0.674
Cd1 0.416 0.416 0.266
Cd2 0.584 0.584 0.734
Ir1 0.220 0.220 0.905
Ir2 0.780 0.780 0.095

***

# 4
# Ca6CdIr2, optimized geometry, DFT GGA-PBE
# Formation energy from the elements (meV/atom): -326
# SG: Immm (71)
data_Ca6CdIr2
_chemical_formula_sum 'Ca12 Cd2 Ir4'
_symmetry_space_group_name_H-M 'P 1'
_symmetry_Int_Tables_number 1
_symmetry_space_group_name_Hall 'P 1'
_cell_length_a 8.778
_cell_length_b 8.778
_cell_length_c 8.778
_cell_angle_alpha 113.54
_cell_angle_beta 112.85
_cell_angle_gamma 102.26
loop_
_atom_site_label
_atom_site_fract_x
_atom_site_fract_y
_atom_site_fract_z
Ca1 0.015 0.841 0.174
Ca2 0.247 0.539 0.292
Ca3 0.247 0.954 0.708
Ca4 0.290 0.319 0.609
Ca5 0.290 0.681 0.971
Ca6 0.333 0.159 0.174
Ca7 0.667 0.841 0.826
Ca8 0.710 0.319 0.029
Ca9 0.710 0.681 0.391
Ca10 0.753 0.046 0.292
Ca11 0.753 0.461 0.708
Ca12 0.985 0.159 0.826
Cd1 0.000 0.500 0.500
Cd2 0.500 0.000 0.500
Ir1 0.000 0.199 0.199
Ir2 0.000 0.801 0.801
Ir3 0.378 0.378 0.000
Ir4 0.622 0.622 0.000

***

# 5
# Ca3CdIr, optimized geometry, DFT GGA-PBE
# Formation energy from the elements (meV/atom): -218
# SG: Pm-3m (221)
data_Ca3CdIr
_chemical_formula_sum 'Ca3 Cd1 Ir1'
_symmetry_space_group_name_H-M 'P 1'
_symmetry_Int_Tables_number 1
_symmetry_space_group_name_Hall 'P 1'
_cell_length_a 5.480
_cell_length_b 5.480
_cell_length_c 5.480
_cell_angle_alpha 90.00
_cell_angle_beta 90.00
_cell_angle_gamma 90.00
loop_
_atom_site_label
_atom_site_fract_x
_atom_site_fract_y
_atom_site_fract_z
Ca1 0.000 0.000 0.500
Ca2 0.000 0.500 0.000
Ca3 0.500 0.000 0.000
Cd1 0.500 0.500 0.500
Ir1 0.000 0.000 0.000

***

# 6
# CaCdIr2, optimized geometry, DFT GGA-PBE
# Formation energy from the elements (meV/atom): -3
# SG: Imm2 (44)
data_CaCdIr2
_chemical_formula_sum 'Ca1 Cd1 Ir2'
_symmetry_space_group_name_H-M 'P 1'
_symmetry_Int_Tables_number 1
_symmetry_space_group_name_Hall 'P 1'
_cell_length_a 6.046
_cell_length_b 6.046
_cell_length_c 6.046
_cell_angle_alpha 151.53
_cell_angle_beta 133.05
_cell_angle_gamma 55.83
loop_
_atom_site_label
_atom_site_fract_x
_atom_site_fract_y
_atom_site_fract_z
Ca1 0.000 0.000 0.000
Cd1 0.294 0.794 0.500
Ir1 0.528 0.528 0.000
Ir2 0.726 0.226 0.500

***

# 7
# CaCdIr2, optimized geometry, DFT GGA-PBE
# Formation energy from the elements (meV/atom): 187
# SG: F-43m (216)
data_CaCdIr2
_chemical_formula_sum 'Ca1 Cd1 Ir2'
_symmetry_space_group_name_H-M 'P 1'
_symmetry_Int_Tables_number 1
_symmetry_space_group_name_Hall 'P 1'
_cell_length_a 4.703
_cell_length_b 4.703
_cell_length_c 4.703
_cell_angle_alpha 60.00
_cell_angle_beta 60.00
_cell_angle_gamma 60.00
loop_
_atom_site_label
_atom_site_fract_x
_atom_site_fract_y
_atom_site_fract_z
Ca1 0.000 0.000 0.000
Cd1 0.750 0.750 0.750
Ir1 0.250 0.250 0.250
Ir2 0.500 0.500 0.500

***

# 8
# Ca2Cd2Ir, optimized geometry, DFT GGA-PBE
# Formation energy from the elements (meV/atom): -84
# SG: P4/mbm (127)
data_Ca2Cd2Ir
_chemical_formula_sum 'Ca4 Cd4 Ir2'
_symmetry_space_group_name_H-M 'P 1'
_symmetry_Int_Tables_number 1
_symmetry_space_group_name_Hall 'P 1'
_cell_length_a 7.231
_cell_length_b 7.231
_cell_length_c 4.770
_cell_angle_alpha 90.00
_cell_angle_beta 90.00
_cell_angle_gamma 90.00
loop_
_atom_site_label
_atom_site_fract_x
_atom_site_fract_y
_atom_site_fract_z
Ca1 0.182 0.318 0.000
Ca2 0.318 0.818 0.000
Ca3 0.682 0.182 0.000
Ca4 0.818 0.682 0.000
Cd1 0.139 0.639 0.500
Cd2 0.361 0.139 0.500
Cd3 0.639 0.861 0.500
Cd4 0.861 0.361 0.500
Ir1 0.000 0.000 0.500
Ir2 0.500 0.500 0.500

***

# 9
# CaCdIr2, optimized geometry, DFT GGA-PBE
# Formation energy from the elements (meV/atom): 117
# SG: Pm (6)
data_CaCdIr2
_chemical_formula_sum 'Ca1 Cd1 Ir2'
_symmetry_space_group_name_H-M 'P 1'
_symmetry_Int_Tables_number 1
_symmetry_space_group_name_Hall 'P 1'
_cell_length_a 2.955
_cell_length_b 4.692
_cell_length_c 5.317
_cell_angle_alpha 90.00
_cell_angle_beta 99.05
_cell_angle_gamma 90.00
loop_
_atom_site_label
_atom_site_fract_x
_atom_site_fract_y
_atom_site_fract_z
Ca1 0.000 0.000 0.000
Cd1 0.558 0.500 0.210
Ir1 0.179 0.500 0.658
Ir2 0.567 0.000 0.523

***

# 10
# CaCdIr2, optimized geometry, DFT GGA-PBE
# Formation energy from the elements (meV/atom): 248
# SG: R-3m (166)
data_CaCdIr2
_chemical_formula_sum 'Ca1 Cd1 Ir2'
_symmetry_space_group_name_H-M 'P 1'
_symmetry_Int_Tables_number 1
_symmetry_space_group_name_Hall 'P 1'
_cell_length_a 9.392
_cell_length_b 9.392
_cell_length_c 9.392
_cell_angle_alpha 18.37
_cell_angle_beta 18.37
_cell_angle_gamma 18.37
loop_
_atom_site_label
_atom_site_fract_x
_atom_site_fract_y
_atom_site_fract_z
Ca1 0.000 0.000 0.000
Cd1 0.500 0.500 0.500
Ir1 0.249 0.249 0.249
Ir2 0.751 0.751 0.751

***

# 11
# CaCdIr2, optimized geometry, DFT GGA-PBE
# Formation energy from the elements (meV/atom): 189
# SG: P4/mmm (123)
data_CaCdIr2
_chemical_formula_sum 'Ca1 Cd1 Ir2'
_symmetry_space_group_name_H-M 'P 1'
_symmetry_Int_Tables_number 1
_symmetry_space_group_name_Hall 'P 1'
_cell_length_a 3.326
_cell_length_b 3.326
_cell_length_c 6.732
_cell_angle_alpha 90.00
_cell_angle_beta 90.00
_cell_angle_gamma 90.00
loop_
_atom_site_label
_atom_site_fract_x
_atom_site_fract_y
_atom_site_fract_z
Ca1 0.000 0.000 0.000
Cd1 0.000 0.000 0.500
Ir1 0.500 0.500 0.275
Ir2 0.500 0.500 0.725

***

# 12
# CaCdIr2, optimized geometry, DFT GGA-PBE
# Formation energy from the elements (meV/atom): 114
# SG: Cmmm (65)
data_CaCdIr2
_chemical_formula_sum 'Ca1 Cd1 Ir2'
_symmetry_space_group_name_H-M 'P 1'
_symmetry_Int_Tables_number 1
_symmetry_space_group_name_Hall 'P 1'
_cell_length_a 5.078
_cell_length_b 5.078
_cell_length_c 2.964
_cell_angle_alpha 90.00
_cell_angle_beta 90.00
_cell_angle_gamma 109.16
loop_
_atom_site_label
_atom_site_fract_x
_atom_site_fract_y
_atom_site_fract_z
Ca1 0.000 0.000 0.000
Cd1 0.500 0.500 0.000
Ir1 0.000 0.500 0.500
Ir2 0.500 0.000 0.500

***

# 13
# K2CaCdIr, optimized geometry, DFT GGA-PBE
# Formation energy from the elements (meV/atom): 583
# SG: P4/mmm (123)
data_K2CaCdIr
_chemical_formula_sum 'K2 Ca1 Cd1 Ir1'
_symmetry_space_group_name_H-M 'P 1'
_symmetry_Int_Tables_number 1
_symmetry_space_group_name_Hall 'P 1'
_cell_length_a 6.056
_cell_length_b 6.056
_cell_length_c 5.322
_cell_angle_alpha 90.00
_cell_angle_beta 90.00
_cell_angle_gamma 90.00
loop_
_atom_site_label
_atom_site_fract_x
_atom_site_fract_y
_atom_site_fract_z
K1 0.000 0.500 0.000
K2 0.500 0.000 0.000
Ca1 0.000 0.000 0.500
Cd1 0.500 0.500 0.500
Ir1 0.500 0.500 0.000

***

# 14
# KCa2CdIr, optimized geometry, DFT GGA-PBE
# Formation energy from the elements (meV/atom): -137
# SG: P4/mmm (123)
data_KCa2CdIr
_chemical_formula_sum 'K1 Ca2 Cd1 Ir1'
_symmetry_space_group_name_H-M 'P 1'
_symmetry_Int_Tables_number 1
_symmetry_space_group_name_Hall 'P 1'
_cell_length_a 5.518
_cell_length_b 5.518
_cell_length_c 5.487
_cell_angle_alpha 90.00
_cell_angle_beta 90.00
_cell_angle_gamma 90.00
loop_
_atom_site_label
_atom_site_fract_x
_atom_site_fract_y
_atom_site_fract_z
K1 0.000 0.000 0.000
Ca1 0.000 0.500 0.500
Ca2 0.500 0.000 0.500
Cd1 0.500 0.500 0.000
Ir1 0.500 0.500 0.500

***

# 15
# CaLa2CdIr, optimized geometry, DFT GGA-PBE
# Formation energy from the elements (meV/atom): -378
# SG: P4/mmm (123)
data_CaLa2CdIr
_chemical_formula_sum 'Ca1 La2 Cd1 Ir1'
_symmetry_space_group_name_H-M 'P 1'
_symmetry_Int_Tables_number 1
_symmetry_space_group_name_Hall 'P 1'
_cell_length_a 5.540
_cell_length_b 5.540
_cell_length_c 5.673
_cell_angle_alpha 90.00
_cell_angle_beta 90.00
_cell_angle_gamma 90.00
loop_
_atom_site_label
_atom_site_fract_x
_atom_site_fract_y
_atom_site_fract_z
Ca1 0.000 0.000 0.000
La1 0.000 0.500 0.500
La2 0.500 0.000 0.500
Cd1 0.500 0.500 0.000
Ir1 0.000 0.000 0.500

***

# 16
# CaLa2CdIr, optimized geometry, DFT GGA-PBE
# Formation energy from the elements (meV/atom): -308
# SG: P4/mmm (123)
data_CaLa2CdIr
_chemical_formula_sum 'Ca1 La2 Cd1 Ir1'
_symmetry_space_group_name_H-M 'P 1'
_symmetry_Int_Tables_number 1
_symmetry_space_group_name_Hall 'P 1'
_cell_length_a 5.552
_cell_length_b 5.552
_cell_length_c 5.459
_cell_angle_alpha 90.00
_cell_angle_beta 90.00
_cell_angle_gamma 90.00
loop_
_atom_site_label
_atom_site_fract_x
_atom_site_fract_y
_atom_site_fract_z
Ca1 0.000 0.000 0.000
La1 0.000 0.500 0.500
La2 0.500 0.000 0.500
Cd1 0.500 0.500 0.000
Ir1 0.500 0.500 0.500

***

# 17
# Ca2LaCdIr, optimized geometry, DFT GGA-PBE
# Formation energy from the elements (meV/atom): -333
# SG: P4/mmm (123)
data_Ca2LaCdIr
_chemical_formula_sum 'Ca2 La1 Cd1 Ir1'
_symmetry_space_group_name_H-M 'P 1'
_symmetry_Int_Tables_number 1
_symmetry_space_group_name_Hall 'P 1'
_cell_length_a 5.588
_cell_length_b 5.588
_cell_length_c 5.451
_cell_angle_alpha 90.00
_cell_angle_beta 90.00
_cell_angle_gamma 90.00
loop_
_atom_site_label
_atom_site_fract_x
_atom_site_fract_y
_atom_site_fract_z
Ca1 0.000 0.500 0.000
Ca2 0.500 0.000 0.000
La1 0.000 0.000 0.500
Cd1 0.500 0.500 0.500
Ir1 0.000 0.000 0.000

***

# 18
# CaLaCdIr, optimized geometry, DFT GGA-PBE
# Formation energy from the elements (meV/atom): -352
# SG: F-43m (216)
data_CaLaCdIr
_chemical_formula_sum 'Ca1 La1 Cd1 Ir1'
_symmetry_space_group_name_H-M 'P 1'
_symmetry_Int_Tables_number 1
_symmetry_space_group_name_Hall 'P 1'
_cell_length_a 5.189
_cell_length_b 5.189
_cell_length_c 5.189
_cell_angle_alpha 60.00
_cell_angle_beta 60.00
_cell_angle_gamma 60.00
loop_
_atom_site_label
_atom_site_fract_x
_atom_site_fract_y
_atom_site_fract_z
Ca1 0.000 0.000 0.000
La1 0.500 0.500 0.500
Cd1 0.250 0.250 0.250
Ir1 0.750 0.750 0.750

***

# 19
# LiCaCdIr, optimized geometry, DFT GGA-PBE
# Formation energy from the elements (meV/atom): -195
# SG: F-43m (216)
data_LiCaCdIr
_chemical_formula_sum 'Li1 Ca1 Cd1 Ir1'
_symmetry_space_group_name_H-M 'P 1'
_symmetry_Int_Tables_number 1
_symmetry_space_group_name_Hall 'P 1'
_cell_length_a 4.785
_cell_length_b 4.785
_cell_length_c 4.785
_cell_angle_alpha 60.00
_cell_angle_beta 60.00
_cell_angle_gamma 60.00
loop_
_atom_site_label
_atom_site_fract_x
_atom_site_fract_y
_atom_site_fract_z
Li1 0.000 0.000 0.000
Ca1 0.250 0.250 0.250
Cd1 0.750 0.750 0.750
Ir1 0.500 0.500 0.500

***

# 20
# CaMgCdIr, optimized geometry, DFT GGA-PBE
# Formation energy from the elements (meV/atom): -186
# SG: F-43m (216)
data_CaMgCdIr
_chemical_formula_sum 'Ca1 Mg1 Cd1 Ir1'
_symmetry_space_group_name_H-M 'P 1'
_symmetry_Int_Tables_number 1
_symmetry_space_group_name_Hall 'P 1'
_cell_length_a 4.862
_cell_length_b 4.862
_cell_length_c 4.862
_cell_angle_alpha 60.00
_cell_angle_beta 60.00
_cell_angle_gamma 60.00
loop_
_atom_site_label
_atom_site_fract_x
_atom_site_fract_y
_atom_site_fract_z
Ca1 0.000 0.000 0.000
Mg1 0.500 0.500 0.500
Cd1 0.750 0.750 0.750
Ir1 0.250 0.250 0.250